FeP2NO: optimized geometry, PBE+U.

Results
**Distance to the lowest polymorph of the same formula**: 0 meV per atom

abc: 3.9090 3.9090 3.9202
angles: 90.00 90.00 90.00
Closest atoms and distances in Å follow each position.
Fractional coordinates of all 5 atoms:
P (0.0000, 0.5000, 0.0000)  2 N 1.95
P (0.5000, 0.0000, 0.0000)  2 N 1.95
Fe (0.5000, 0.5000, 0.5000)  4 O 2.76, 8 P 2.77
O (0.0000, 0.0000, 0.5000)  2 N 1.96
N (0.0000, 0.0000, 0.0000)  4 P 1.95, 2 O 1.96